The following is a DFT calculation (meta-GGA SCAN) of a PBEsol-optimized structure of CaCr2Ag.

Lattice parameters (Å, degrees): 4.718 4.718 4.718 60.00 60.00 60.00
Site moments in Bohr magnetons follow the coordinates.
Sites, in units of the cell vectors:
Cr1 0.000 0.000 0.000  -3.87
Cr2 0.750 0.750 0.750  3.85
Ca1 0.250 0.250 0.250  -0.06
Ag1 0.500 0.500 0.500  0.05

Computed properties:
**Formation enthalpy at 0 K**: 187 meV/atom
**Uncorrected energy**: -19.263 eV per atom
**Offset from the most stable computed form**: 0 meV per atom